{"formula": "RbNp2WO8", "functional": "PBE+U", "state": "optimized geometry", "space_group": "P-1 (2)", "e_tot_ev_per_cell": -102.26, "crystal_system": "triclinic", "lattice": [[5.107, 0.000, 0.000], [0.243, 5.101, 0.000], [0.273, 0.255, 7.115]], "species": ["Rb", "Np", "Np", "W", "O", "O", "O", "O", "O", "O", "O", "O"], "frac_coords": [[0.000, 0.000, 0.000], [0.486, 0.486, 0.258], [0.514, 0.514, 0.742], [0.000, 0.000, 0.500], [0.197, 0.788, 0.690], [0.215, 0.803, 0.310], [0.287, 0.288, 0.491], [0.342, 0.345, 0.966], [0.658, 0.655, 0.034], [0.713, 0.712, 0.509], [0.785, 0.197, 0.690], [0.803, 0.212, 0.310]]}